# CaMnN2O PBE with a Hubbard U optimized geometry
data_CaMnN2O
_chemical_formula_sum 'Ca1 Mn1 N2 O1'
_cell_length_a 3.783
_cell_length_b 3.783
_cell_length_c 4.072
_cell_angle_alpha 90.00
_cell_angle_beta 90.00
_cell_angle_gamma 90.00
_space_group_name_H-M_alt 'P 1'
_space_group_IT_number 1
_space_group_name_Hall 'P 1'
loop_
_atom_site_label
_atom_site_type_symbol
_atom_site_fract_x
_atom_site_fract_y
_atom_site_fract_z
Ca1 Ca 0.500 0.500 0.500
Mn1 Mn 0.000 0.000 0.000
O1 O 0.000 0.000 0.500
N1 N 0.000 0.500 0.000
N2 N 0.500 0.000 0.000
# magnetization = 1.31 μB/f.u.
# energy = -32.73 eV/cell
# DOS at the Fermi energy = 0.343 states/eV/atom
# space group = P4/mmm (123)